[1]
! Dy2Er5Te2Pd2 PBE optimized geometry; values from VASP
&SYSTEM
  ibrav = 0, nat = 11, ntyp = 4
/
ATOMIC_SPECIES
Dy 162.50 Dy.upf
Er 167.26 Er.upf
Te 127.60 Te.upf
Pd 106.42 Pd.upf
CELL_PARAMETERS angstrom
-1.9601 7.8374 4.8018
1.9601 -7.8374 4.8018
1.9601 7.8374 -4.8018
ATOMIC_POSITIONS crystal
Dy 0.1822 0.0000 0.1822
Dy 0.8178 0.0000 0.8178
Er 0.1243 0.6243 0.5000
Er 0.2156 0.3591 0.8565
Er 0.5027 0.3591 0.1435
Er 0.5781 0.2072 0.3709
Er 0.8364 0.2072 0.6291
Te 0.4617 0.9617 0.5000
Te 0.8584 0.8584 0.0000
Pd 0.4346 0.6969 0.7377
Pd 0.9592 0.6969 0.2623
! E above lowest polymorph: 7.7 meV per atom
! total magnetization: 0.0 Bohr magnetons per cell

***

[2]
! FeNiSnAu PBE optimized geometry; values from VASP
&SYSTEM
  ibrav = 0, nat = 4, ntyp = 4
/
ATOMIC_SPECIES
Fe 55.84 Fe.upf
Ni 58.69 Ni.upf
Sn 118.71 Sn.upf
Au 196.97 Au.upf
CELL_PARAMETERS angstrom
0.0000 3.1298 3.1298
3.1298 0.0000 3.1298
3.1298 3.1298 0.0000
ATOMIC_POSITIONS crystal
Fe 0.0000 0.0000 0.0000
Ni 0.5000 0.5000 0.5000
Sn 0.7500 0.7500 0.7500
Au 0.2500 0.2500 0.2500
! E above lowest polymorph: 0.0 meV per atom
! total magnetization: 2.5 Bohr magnetons per cell

***

[3]
! Ho3Tm3Te2Pt PBE optimized geometry; values from VASP
&SYSTEM
  ibrav = 0, nat = 9, ntyp = 4
/
ATOMIC_SPECIES
Ho 164.93 Ho.upf
Tm 168.93 Tm.upf
Te 127.60 Te.upf
Pt 195.08 Pt.upf
CELL_PARAMETERS angstrom
8.3607 0.0000 0.0000
-4.1804 7.2406 0.0000
0.0000 0.0000 3.9128
ATOMIC_POSITIONS crystal
Ho 0.0000 0.2459 0.0000
Ho 0.2459 0.0000 0.0000
Ho 0.7541 0.7541 0.0000
Tm 0.0000 0.6001 0.5000
Tm 0.3999 0.3999 0.5000
Tm 0.6001 0.0000 0.5000
Te 0.3333 0.6667 0.0000
Te 0.6667 0.3333 0.0000
Pt 0.0000 0.0000 0.5000
! E above lowest polymorph: 33.6 meV per atom
! total magnetization: 0.7 Bohr magnetons per cell

***

[4]
! Tb2PdAu PBE optimized geometry; values from VASP
&SYSTEM
  ibrav = 0, nat = 4, ntyp = 3
/
ATOMIC_SPECIES
Tb 158.93 Tb.upf
Pd 106.42 Pd.upf
Au 196.97 Au.upf
CELL_PARAMETERS angstrom
4.6538 0.0000 0.0000
0.0000 1.8871 5.3535
0.0000 -1.8871 5.3535
ATOMIC_POSITIONS crystal
Tb 0.0000 0.0000 0.0000
Tb 0.5000 0.2765 0.2765
Pd 0.0000 0.7271 0.7271
Au 0.5000 0.5543 0.5543
! energy: -21.3 eV/f.u.
! total magnetization: 0.0 Bohr magnetons per cell

***

[5]
! NaTbPtS3 PBE optimized geometry; values from VASP
&SYSTEM
  ibrav = 0, nat = 12, ntyp = 4
/
ATOMIC_SPECIES
Na 22.99 Na.upf
Tb 158.93 Tb.upf
Pt 195.08 Pt.upf
S 32.06 S.upf
CELL_PARAMETERS angstrom
1.9302 -6.8390 0.0000
1.9302 6.8390 0.0000
0.0000 0.0000 10.1353
ATOMIC_POSITIONS crystal
Na 0.2362 0.7638 0.7500
Na 0.7638 0.2362 0.2500
Tb 0.0000 0.0000 0.0000
Tb 0.0000 0.0000 0.5000
Pt 0.4930 0.5070 0.2500
Pt 0.5070 0.4930 0.7500
S 0.0964 0.9036 0.2500
S 0.3691 0.6309 0.0825
S 0.3691 0.6309 0.4175
S 0.6309 0.3691 0.5825
S 0.6309 0.3691 0.9175
S 0.9036 0.0964 0.7500
! energy: -31.1 eV/f.u.
! total magnetization: 0.0 Bohr magnetons per cell

***

[6]
! BaDyO3 PBE optimized geometry; values from VASP
&SYSTEM
  ibrav = 0, nat = 10, ntyp = 3
/
ATOMIC_SPECIES
Ba 137.33 Ba.upf
Dy 162.50 Dy.upf
O 16.00 O.upf
CELL_PARAMETERS angstrom
3.0653 1.7698 5.5025
-3.0653 1.7698 5.5025
0.0000 -3.5395 5.5025
ATOMIC_POSITIONS crystal
Ba 0.1292 0.1292 0.1292
Ba 0.8708 0.8708 0.8708
Dy 0.3474 0.3474 0.3474
Dy 0.6526 0.6526 0.6526
O 0.0498 0.6892 0.4851
O 0.3108 0.5149 0.9502
O 0.4851 0.0498 0.6892
O 0.5149 0.9502 0.3108
O 0.6892 0.4851 0.0498
O 0.9502 0.3108 0.5149
! energy: -34.7 eV/f.u.
! total magnetization: 2.0 Bohr magnetons per cell

***

[7]
! LiNb3Ge5 PBE optimized geometry; values from VASP
&SYSTEM
  ibrav = 0, nat = 9, ntyp = 3
/
ATOMIC_SPECIES
Li 6.94 Li.upf
Nb 92.91 Nb.upf
Ge 72.64 Ge.upf
CELL_PARAMETERS angstrom
5.5811 0.0000 0.0000
-2.7906 4.8334 0.0000
0.0000 0.0000 6.7334
ATOMIC_POSITIONS crystal
Li 0.0000 0.0000 0.0000
Nb 0.0000 0.5000 0.5000
Nb 0.5000 0.0000 0.5000
Nb 0.5000 0.5000 0.5000
Ge 0.0000 0.0000 0.5000
Ge 0.3333 0.6667 0.1811
Ge 0.3333 0.6667 0.8189
Ge 0.6667 0.3333 0.1811
Ge 0.6667 0.3333 0.8189
! energy: -55.7 eV/f.u.
! total magnetization: 0.0 Bohr magnetons per cell

***

[8]
! LiB4Mo PBE optimized geometry; values from VASP
&SYSTEM
  ibrav = 0, nat = 6, ntyp = 3
/
ATOMIC_SPECIES
Li 6.94 Li.upf
B 10.81 B.upf
Mo 95.94 Mo.upf
CELL_PARAMETERS angstrom
2.9706 0.0000 0.0000
-1.4853 2.5726 0.0000
0.0000 0.0000 6.9922
ATOMIC_POSITIONS crystal
Li 0.0000 0.0000 0.0000
B 0.3333 0.6667 0.2603
B 0.3333 0.6667 0.7397
B 0.6667 0.3333 0.2603
B 0.6667 0.3333 0.7397
Mo 0.0000 0.0000 0.5000
! E above lowest polymorph: 5.5 meV per atom
! total magnetization: 0.0 Bohr magnetons per cell

***

Calculated density (computed, g cm⁻³): 9.2; 11.7; 10.2; 11.0; 5.9; 6.4; 5.9; 4.5